# 1
Here is a relaxed ScRu2 crystal from Alexandria via LeMat-Bulk. Energies are from GGA-PBE.

## Properties
Uncorrected energy ... -49.6 eV/cell
Calculated volume ... 48.0 Å³/f.u.
Total magnetic moment ... 0.00 μB/f.u.
Energy relative to the elements ... 0.04 eV per atom

Cell: 7.358 7.358 4.599 Å, 90.00 90.00 157.30°
Sites, in units of the cell vectors:
Sc (0.208, 0.792, 0.750)
Sc (0.792, 0.208, 0.250)
Ru (0.108, 0.892, 0.250)
Ru (0.453, 0.547, 0.250)
Ru (0.547, 0.453, 0.750)
Ru (0.892, 0.108, 0.750)

=====

# 2
Here is a relaxed SbCOF2 crystal from Alexandria via LeMat-Bulk. Energies are from GGA-PBE.

## Properties
Energy above the most stable polymorph in this dataset ... 222.4 meV/atom
Uncorrected energy ... -20.5 eV/cell
Calculated volume ... 79.0 Å³/f.u.
Formation energy (no corrections) ... 315 meV/atom
Total magnetic moment ... 0.21 μB/f.u.

Cell: 4.182 4.182 4.520 Å, 90.00 90.00 90.00°
Sites, in units of the cell vectors:
Sb (0.000, 0.000, 0.000)
C (0.000, 0.000, 0.500)
O (0.500, 0.500, 0.500)
F (0.000, 0.500, 0.000)
F (0.500, 0.000, 0.000)

=====

# 3
Here is a relaxed La5CeNd2Dy crystal from Alexandria via LeMat-Bulk. Energies are from GGA-PBE.

## Properties
Uncorrected energy ... -84.7 eV/cell
Calculated volume ... 322.8 Å³/f.u.
Total magnetic moment ... 1.32 μB/f.u.
Energy relative to the elements ... 0.26 eV per atom

Cell: 8.279 8.279 9.419 Å, 90.00 90.00 90.00°
Sites, in units of the cell vectors:
La (0.000, 0.000, 0.000)
La (0.195, 0.305, 0.279)
La (0.195, 0.305, 0.721)
La (0.305, 0.805, 0.279)
La (0.305, 0.805, 0.721)
La (0.500, 0.500, 0.000)
La (0.695, 0.195, 0.279)
La (0.695, 0.195, 0.721)
La (0.805, 0.695, 0.279)
La (0.805, 0.695, 0.721)
Ce (0.000, 0.500, 0.500)
Ce (0.500, 0.000, 0.500)
Nd (0.130, 0.630, 0.000)
Nd (0.370, 0.130, 0.000)
Nd (0.630, 0.870, 0.000)
Nd (0.870, 0.370, 0.000)
Dy (0.000, 0.000, 0.500)
Dy (0.500, 0.500, 0.500)

=====

# 4
Here is a relaxed Mn3SeBr crystal from Alexandria via LeMat-Bulk. Energies are from GGA-PBE.

## Properties
Energy above the most stable polymorph in this dataset ... 0.0 meV/atom
Uncorrected energy ... -30.2 eV/cell
Calculated volume ... 109.9 Å³/f.u.
Formation energy (no corrections) ... 502 meV/atom
Total magnetic moment ... 12.00 μB/f.u.

Cell: 4.790 4.790 4.790 Å, 90.00 90.00 90.00°
Sites, in units of the cell vectors:
Mn (0.000, 0.000, 0.500)
Mn (0.000, 0.500, 0.000)
Mn (0.500, 0.000, 0.000)
Se (0.000, 0.000, 0.000)
Br (0.500, 0.500, 0.500)

=====

# 5
Here is a relaxed Y2RuSe crystal from Alexandria via LeMat-Bulk. Energies are from GGA-PBE.

## Properties
Uncorrected energy ... -29.4 eV/cell
Calculated volume ... 88.1 Å³/f.u.
Formation energy (no corrections) ... -938 meV/atom
Total magnetic moment ... 0.00 μB/f.u.

Cell: 3.675 4.516 5.618 Å, 90.00 109.09 90.00°
Sites, in units of the cell vectors:
Y (0.000, 0.000, 0.000)
Y (0.280, 0.500, 0.561)
Ru (0.544, 0.500, 0.087)
Se (0.722, 0.000, 0.445)

=====

# 6
Here is a relaxed Al2GeC crystal from Alexandria via LeMat-Bulk. Energies are from GGA-PBE.

## Properties
Energy above the most stable polymorph in this dataset ... 825.7 meV/atom
Uncorrected energy ... -16.9 eV/cell
Calculated volume ... 56.9 Å³/f.u.
Total magnetic moment ... 0.00 μB/f.u.
Energy relative to the elements ... 1.10 eV per atom

Cell: 4.317 4.317 4.317 Å, 60.00 60.00 60.00°
Sites, in units of the cell vectors:
Al (0.250, 0.250, 0.250)
Al (0.750, 0.750, 0.750)
Ge (0.000, 0.000, 0.000)
C (0.500, 0.500, 0.500)

=====

# 7
Here is a relaxed K3Zn crystal from Alexandria via LeMat-Bulk. Energies are from GGA-PBE.

## Properties
Uncorrected energy ... -4.0 eV/cell
Calculated volume ... 225.9 Å³/f.u.
Total magnetic moment ... 0.00 μB/f.u.
Energy relative to the elements ... 0.15 eV per atom

Cell: 4.625 4.625 12.190 Å, 90.00 90.00 120.00°
Sites, in units of the cell vectors:
K (0.000, 0.000, 0.000)
K (0.333, 0.667, 0.312)
K (0.333, 0.667, 0.688)
Zn (0.000, 0.000, 0.500)

=====

# 8
Here is a relaxed BePPt2 crystal from Alexandria via LeMat-Bulk. Energies are from GGA-PBE.

## Properties
Energy above the most stable polymorph in this dataset ... 647.4 meV/atom
Uncorrected energy ... -20.5 eV/cell
Calculated volume ... 57.2 Å³/f.u.
Total magnetic moment ... 0.00 μB/f.u.
Energy relative to the elements ... 0.18 eV per atom

Cell: 4.325 4.325 4.325 Å, 60.00 60.00 60.00°
Sites, in units of the cell vectors:
Be (0.000, 0.000, 0.000)
P (0.250, 0.250, 0.250)
Pt (0.500, 0.500, 0.500)
Pt (0.750, 0.750, 0.750)

=====

# 9
Here is a relaxed LaH3Se crystal from Alexandria via LeMat-Bulk. Energies are from GGA-PBE.

## Properties
Energy above the most stable polymorph in this dataset ... 125.2 meV/atom
Uncorrected energy ... -17.6 eV/cell
Calculated volume ... 64.5 Å³/f.u.
Total magnetic moment ... 0.00 μB/f.u.

Cell: 4.010 4.010 4.010 Å, 90.00 90.00 90.00°
Sites, in units of the cell vectors:
La (0.000, 0.000, 0.000)
H (0.000, 0.500, 0.500)
H (0.500, 0.000, 0.500)
H (0.500, 0.500, 0.000)
Se (0.500, 0.500, 0.500)

=====

# 10
Here is a relaxed Y2Al4CuPd3 crystal from Alexandria via LeMat-Bulk. Energies are from GGA-PBE.

## Properties
Uncorrected energy ... -55.1 eV/cell
Calculated volume ... 184.8 Å³/f.u.
Total magnetic moment ... 0.00 μB/f.u.
Energy relative to the elements ... -0.75 eV per atom

Cell: 4.140 4.140 10.780 Å, 90.00 90.00 90.00°
Sites, in units of the cell vectors:
Y (0.000, 0.500, 0.250)
Y (0.500, 0.000, 0.750)
Al (0.000, 0.000, 0.000)
Al (0.000, 0.500, 0.628)
Al (0.500, 0.000, 0.372)
Al (0.500, 0.500, 0.000)
Cu (0.000, 0.000, 0.500)
Pd (0.000, 0.500, 0.862)
Pd (0.500, 0.000, 0.138)
Pd (0.500, 0.500, 0.500)

=====

# 11
Here is a relaxed AgTe2Os crystal from Alexandria via LeMat-Bulk. Energies are from GGA-PBE.

## Properties
Energy above the most stable polymorph in this dataset ... 242.5 meV/atom
Uncorrected energy ... -18.5 eV/cell
Calculated volume ... 91.5 Å³/f.u.
Formation energy (no corrections) ... 465 meV/atom
Total magnetic moment ... 0.00 μB/f.u.

Cell: 7.238 7.238 7.238 Å, 154.49 145.81 43.14°
Sites, in units of the cell vectors:
Ag (0.000, 0.000, 0.000)
Te (0.374, 0.374, 0.000)
Te (0.653, 0.153, 0.500)
Os (0.214, 0.714, 0.500)

=====

# 12
Here is a relaxed Cr2TcSe crystal from Alexandria via LeMat-Bulk. Energies are from GGA-PBE.

## Properties
Uncorrected energy ... -31.8 eV/cell
Calculated volume ... 56.3 Å³/f.u.
Formation energy (no corrections) ... 329 meV/atom
Total magnetic moment ... 3.34 μB/f.u.

Cell: 4.396 4.396 2.999 Å, 90.00 90.00 103.50°
Sites, in units of the cell vectors:
Cr (0.000, 0.500, 0.000)
Cr (0.500, 0.000, 0.000)
Tc (0.000, 0.000, 0.500)
Se (0.500, 0.500, 0.500)

=====

# 13
Here is a relaxed Tm2TlSi crystal from Alexandria via LeMat-Bulk. Energies are from GGA-PBE.

## Properties
Uncorrected energy ... -18.3 eV/cell
Calculated volume ... 93.6 Å³/f.u.
Formation energy (no corrections) ... -392 meV/atom
Total magnetic moment ... 0.00 μB/f.u.

Cell: 3.309 3.309 8.545 Å, 90.00 90.00 90.00°
Sites, in units of the cell vectors:
Tm (0.000, 0.000, 0.215)
Tm (0.000, 0.000, 0.785)
Tl (0.500, 0.500, 0.500)
Si (0.500, 0.500, 0.000)

=====

# 14
Here is a relaxed SrTaO3 crystal from Alexandria via LeMat-Bulk. Energies are from GGA-PBE.

## Properties
Uncorrected energy ... -83.8 eV/cell
Calculated volume ... 74.8 Å³/f.u.
Formation energy (no corrections) ... -2697 meV/atom
Total magnetic moment ... 0.00 μB/f.u.

Cell: 3.644 3.644 13.011 Å, 90.00 90.00 120.00°
Sites, in units of the cell vectors:
Sr (0.000, 0.000, 0.000)
Sr (0.000, 0.000, 0.500)
Ta (0.333, 0.667, 0.250)
Ta (0.667, 0.333, 0.750)
O (0.000, 0.000, 0.250)
O (0.000, 0.000, 0.750)
O (0.333, 0.667, 0.101)
O (0.333, 0.667, 0.399)
O (0.667, 0.333, 0.601)
O (0.667, 0.333, 0.899)

=====

# 15
Here is a relaxed Pm6Ge2SbTe3 crystal from Alexandria via LeMat-Bulk. Energies are from GGA-PBE.

## Properties
Uncorrected energy ... -66.6 eV/cell
Calculated volume ... 366.9 Å³/f.u.
Formation energy (no corrections) ... -1276 meV/atom
Total magnetic moment ... 0.00 μB/f.u.

Cell: 9.903 9.903 8.904 Å, 103.48 103.48 25.64°
Sites, in units of the cell vectors:
Pm (0.010, 0.010, 0.250)
Pm (0.327, 0.327, 0.431)
Pm (0.333, 0.333, 0.894)
Pm (0.667, 0.667, 0.106)
Pm (0.673, 0.673, 0.569)
Pm (0.990, 0.990, 0.750)
Ge (0.168, 0.168, 0.335)
Ge (0.832, 0.832, 0.665)
Sb (0.500, 0.500, 0.000)
Te (0.164, 0.164, 0.834)
Te (0.500, 0.500, 0.500)
Te (0.836, 0.836, 0.166)

=====

# 16
Here is a relaxed Ac3PmSn4 crystal from Alexandria via LeMat-Bulk. Energies are from GGA-PBE.

## Properties
Uncorrected energy ... -37.6 eV/cell
Calculated volume ... 298.9 Å³/f.u.
Total magnetic moment ... 0.00 μB/f.u.
Energy relative to the elements ... -0.56 eV per atom

Cell: 10.045 10.045 10.045 Å, 153.88 137.74 50.36°
Sites, in units of the cell vectors:
Ac (0.000, 0.000, 0.000)
Ac (0.300, 0.800, 0.500)
Ac (0.700, 0.200, 0.500)
Pm (0.500, 0.500, 0.000)
Sn (0.075, 0.374, 0.702)
Sn (0.328, 0.626, 0.702)
Sn (0.672, 0.374, 0.298)
Sn (0.925, 0.626, 0.298)

=====

# 17
Here is a relaxed SbIr crystal from Alexandria via LeMat-Bulk. Energies are from GGA-PBE.

## Properties
Uncorrected energy ... -23.3 eV/cell
Calculated volume ... 38.1 Å³/f.u.
Formation energy (no corrections) ... 666 meV/atom
Total magnetic moment ... 0.00 μB/f.u.

Cell: 4.760 4.760 4.760 Å, 60.00 60.00 60.00°
Sites, in units of the cell vectors:
Sb (0.125, 0.125, 0.125)
Sb (0.875, 0.875, 0.875)
Ir (0.375, 0.375, 0.375)
Ir (0.625, 0.625, 0.625)

=====

# 18
Here is a relaxed HoInRh crystal from Alexandria via LeMat-Bulk. Energies are from GGA-PBE.

## Properties
Uncorrected energy ... -101.4 eV/cell
Calculated volume ... 64.4 Å³/f.u.
Total magnetic moment ... 0.00 μB/f.u.
Energy relative to the elements ... -0.74 eV per atom

Cell: 13.082 3.802 7.768 Å, 90.00 90.00 90.00°
Sites, in units of the cell vectors:
Ho (0.046, 0.000, 0.217)
Ho (0.250, 0.000, 0.836)
Ho (0.454, 0.000, 0.217)
Ho (0.546, 0.000, 0.783)
Ho (0.750, 0.000, 0.164)
Ho (0.954, 0.000, 0.783)
In (0.114, 0.500, 0.568)
In (0.250, 0.500, 0.191)
In (0.386, 0.500, 0.568)
In (0.614, 0.500, 0.432)
In (0.750, 0.500, 0.809)
In (0.886, 0.500, 0.432)
Rh (0.100, 0.500, 0.936)
Rh (0.250, 0.000, 0.446)
Rh (0.400, 0.500, 0.936)
Rh (0.600, 0.500, 0.064)
Rh (0.750, 0.000, 0.554)
Rh (0.900, 0.500, 0.064)

=====

# 19
Here is a relaxed Sm12Ni6Ag crystal from Alexandria via LeMat-Bulk. Energies are from GGA-PBE.

## Properties
Uncorrected energy ... -99.1 eV/cell
Calculated volume ... 482.7 Å³/f.u.
Total magnetic moment ... 0.00 μB/f.u.
Energy relative to the elements ... -0.26 eV per atom

Cell: 8.559 8.559 8.559 Å, 109.47 109.47 109.47°
Sites, in units of the cell vectors:
Sm (0.118, 0.814, 0.305)
Sm (0.186, 0.305, 0.491)
Sm (0.186, 0.695, 0.882)
Sm (0.305, 0.118, 0.814)
Sm (0.305, 0.491, 0.186)
Sm (0.491, 0.186, 0.305)
Sm (0.509, 0.814, 0.695)
Sm (0.695, 0.509, 0.814)
Sm (0.695, 0.882, 0.186)
Sm (0.814, 0.305, 0.118)
Sm (0.814, 0.695, 0.509)
Sm (0.882, 0.186, 0.695)
Ni (0.123, 0.623, 0.500)
Ni (0.377, 0.500, 0.877)
Ni (0.500, 0.123, 0.623)
Ni (0.500, 0.877, 0.377)
Ni (0.623, 0.500, 0.123)
Ni (0.877, 0.377, 0.500)
Ag (0.000, 0.000, 0.000)

=====

# 20
Here is a relaxed Cd3Si crystal from Alexandria via LeMat-Bulk. Energies are from GGA-PBE.

## Properties
Energy above the most stable polymorph in this dataset ... 114.3 meV/atom
Uncorrected energy ... -6.9 eV/cell
Calculated volume ... 86.5 Å³/f.u.
Formation energy (no corrections) ... 321 meV/atom
Total magnetic moment ... 0.00 μB/f.u.

Cell: 4.965 4.965 4.965 Å, 60.00 60.00 60.00°
Sites, in units of the cell vectors:
Cd (0.000, 0.000, 0.000)
Cd (0.250, 0.250, 0.250)
Cd (0.750, 0.750, 0.750)
Si (0.500, 0.500, 0.500)

=====

# 21
Here is a relaxed Pu2GeH crystal from Alexandria via LeMat-Bulk. Energies are from GGA-PBE.

## Properties
Energy above the most stable polymorph in this dataset ... 0.0 meV/atom
Uncorrected energy ... -38.2 eV/cell
Calculated volume ... 73.4 Å³/f.u.
Total magnetic moment ... 11.03 μB/f.u.

Cell: 5.451 5.451 5.451 Å, 137.37 137.37 61.86°
Sites, in units of the cell vectors:
Pu (0.152, 0.152, 0.000)
Pu (0.848, 0.848, 0.000)
Ge (0.500, 0.500, 0.000)
H (0.750, 0.250, 0.500)

=====

# 22
Here is a relaxed Rb2TiZnAg crystal from Alexandria via LeMat-Bulk. Energies are from GGA-PBE.

## Properties
Uncorrected energy ... -8.9 eV/cell
Calculated volume ... 217.1 Å³/f.u.
Total magnetic moment ... 0.17 μB/f.u.
Energy relative to the elements ... 1.02 eV per atom

Cell: 6.590 6.590 4.999 Å, 90.00 90.00 90.00°
Sites, in units of the cell vectors:
Rb (0.000, 0.500, 0.000)
Rb (0.500, 0.000, 0.000)
Ti (0.000, 0.000, 0.500)
Zn (0.500, 0.500, 0.000)
Ag (0.500, 0.500, 0.500)

=====

# 23
Here is a relaxed TlCr2GaSe crystal from Alexandria via LeMat-Bulk. Energies are from GGA-PBE.

## Properties
Uncorrected energy ... -25.4 eV/cell
Calculated volume ... 128.2 Å³/f.u.
Formation energy (no corrections) ... 540 meV/atom
Total magnetic moment ... 8.09 μB/f.u.

Cell: 4.800 4.800 5.563 Å, 90.00 90.00 90.00°
Sites, in units of the cell vectors:
Tl (0.000, 0.000, 0.000)
Cr (0.000, 0.500, 0.500)
Cr (0.500, 0.000, 0.500)
Ga (0.500, 0.500, 0.000)
Se (0.500, 0.500, 0.500)

=====

# 24
Here is a relaxed BeTlCr crystal from Alexandria via LeMat-Bulk. Energies are from GGA-PBE.

## Properties
Energy above the most stable polymorph in this dataset ... 76.6 meV/atom
Uncorrected energy ... -13.7 eV/cell
Calculated volume ... 48.2 Å³/f.u.
Total magnetic moment ... 3.13 μB/f.u.
Energy relative to the elements ... 0.67 eV per atom

Cell: 4.261 4.261 3.062 Å, 90.00 90.00 120.00°
Sites, in units of the cell vectors:
Be (0.000, 0.000, 0.000)
Tl (0.667, 0.333, 0.000)
Cr (0.333, 0.667, 0.500)

=====

# 25
Here is a relaxed Ni4HgCl crystal from Alexandria via LeMat-Bulk. Energies are from GGA-PBE.

## Properties
Uncorrected energy ... -22.2 eV/cell
Calculated volume ... 85.7 Å³/f.u.
Formation energy (no corrections) ... 517 meV/atom
Total magnetic moment ... 0.00 μB/f.u.

Cell: 4.950 4.950 4.950 Å, 60.00 60.00 60.00°
Sites, in units of the cell vectors:
Ni (0.124, 0.124, 0.124)
Ni (0.124, 0.124, 0.627)
Ni (0.124, 0.627, 0.124)
Ni (0.627, 0.124, 0.124)
Hg (0.750, 0.750, 0.750)
Cl (0.500, 0.500, 0.500)